Entry 1:
Density functional theory data (PBE-GGA) for a relaxed NdTmAl2Zn2 crystal.

Results
E_form	-0.449	eV/atom
E_tot	-3.66	eV/atom
M_tot	0.000	μB per atom

The structure in CIF format:
```
data_NdTmAl2Zn2
_cell_length_a 4.4996
_cell_length_b 4.4996
_cell_length_c 7.3112
_cell_angle_alpha 90.00
_cell_angle_beta 90.00
_cell_angle_gamma 120.00
_symmetry_space_group_name_H-M 'P -3 m 1'
_symmetry_Int_Tables_number 164
_symmetry_space_group_name_Hall '-P 3 2"'
loop_
_atom_site_label
_atom_site_fract_x
_atom_site_fract_y
_atom_site_fract_z
_atom_site_occupancy
Nd1 0.0000 0.0000 0.0000 1
Tm1 0.0000 0.0000 0.5000 1
Al1 0.3333 0.6667 0.7280 1
Zn1 0.3333 0.6667 0.2808 1
```



Entry 2:
Density functional theory data (PBE-GGA) for a relaxed Mg2CdS3 crystal.

Results
E_tot	-3.91	eV/atom
uncorrected formation energy	-1.158	eV/atom
M_tot	0.000	μB per atom

The structure in CIF format:
```
data_Mg2CdS3
_cell_length_a 8.150
_cell_length_b 24.468
_cell_length_c 11.554
_cell_angle_alpha 90.00
_cell_angle_beta 90.00
_cell_angle_gamma 90.00
_symmetry_space_group_name_H-M 'F d d 2'
_symmetry_Int_Tables_number 43
_symmetry_space_group_name_Hall 'F 2 -2d'
loop_
_atom_site_label
_atom_site_fract_x
_atom_site_fract_y
_atom_site_fract_z
_atom_site_occupancy
Mg1 0.000 0.000 0.000 1
Mg2 0.000 0.000 0.499 1
Mg3 0.000 0.166 0.499 1
Cd1 0.001 0.332 0.499 1
S1 0.000 0.246 0.370 1
S2 0.008 0.081 0.875 1
S3 0.008 0.417 0.878 1
```



Entry 3:
Density functional theory data (PBE-GGA) for a relaxed NbAsPb2Cl crystal.

Results
E_tot	-3.75	eV/atom
uncorrected formation energy	1.046	eV/atom
M_tot	0.034	μB per atom

The structure in CIF format:
```
data_NbAsPb2Cl
_cell_length_a 5.580
_cell_length_b 5.580
_cell_length_c 4.695
_cell_angle_alpha 90.00
_cell_angle_beta 90.00
_cell_angle_gamma 90.00
_symmetry_space_group_name_H-M 'P 4/m m m'
_symmetry_Int_Tables_number 123
_symmetry_space_group_name_Hall '-P 4 2'
loop_
_atom_site_label
_atom_site_fract_x
_atom_site_fract_y
_atom_site_fract_z
_atom_site_occupancy
Nb1 0.000 0.000 0.000 1
As1 0.500 0.500 0.500 1
Pb1 0.000 0.500 0.500 1
Cl1 0.500 0.500 0.000 1
```



Entry 4:
Density functional theory data (PBE-GGA) for a relaxed YCdCl2 crystal.

Results
E_tot	-3.92	eV/atom
uncorrected formation energy	-1.149	eV/atom
M_tot	0.000	μB per atom

The structure in CIF format:
```
data_YCdCl2
_cell_length_a 4.944
_cell_length_b 3.994
_cell_length_c 11.530
_cell_angle_alpha 90.00
_cell_angle_beta 90.00
_cell_angle_gamma 90.00
_symmetry_space_group_name_H-M 'A m m 2'
_symmetry_Int_Tables_number 38
loop_
_symmetry_equiv_pos_as_xyz
'x,y,z'
'-x,-y,z'
'-x,y,z'
'x,-y,z'
'x,y+1/2,z+1/2'
'-x,-y+1/2,z+1/2'
'-x,y+1/2,z+1/2'
'x,-y+1/2,z+1/2'
loop_
_atom_site_label
_atom_site_fract_x
_atom_site_fract_y
_atom_site_fract_z
_atom_site_occupancy
Y1 0.000 0.000 0.000 1
Cd1 0.500 0.000 0.642 1
Cl1 0.000 0.000 0.344 1
Cl2 0.500 0.000 0.909 1
```



Entry 5:
Density functional theory data (PBE-GGA) for a relaxed Fe2Cu6SnS8 crystal.

Results
E_tot	-4.93	eV/atom
uncorrected formation energy	-0.312	eV/atom
M_tot	0.343	μB per atom

The structure in CIF format:
```
data_Fe2Cu6SnS8
_cell_length_a 7.626
_cell_length_b 7.626
_cell_length_c 5.290
_cell_angle_alpha 90.00
_cell_angle_beta 90.00
_cell_angle_gamma 90.00
_symmetry_space_group_name_H-M 'P -4 m 2'
_symmetry_Int_Tables_number 115
loop_
_symmetry_equiv_pos_as_xyz
'x,y,z'
'y,-x,-z'
'-x,-y,z'
'-y,x,-z'
'-x,y,z'
'-y,-x,-z'
'x,-y,z'
'y,x,-z'
loop_
_atom_site_label
_atom_site_fract_x
_atom_site_fract_y
_atom_site_fract_z
_atom_site_occupancy
Fe1 0.000 0.000 0.000 1
Fe2 0.000 0.000 0.500 1
Cu1 0.000 0.500 0.487 1
Cu2 0.251 0.251 0.000 1
Sn1 0.500 0.500 0.500 1
S1 0.000 0.241 0.255 1
S2 0.233 0.500 0.760 1
```



Entry 6:
Density functional theory data (PBE-GGA) for a relaxed YV6Sn6 crystal.

Results
E_form	-0.232	eV/atom
E_tot	-6.78	eV/atom
M_tot	0.000	μB per atom

The structure in CIF format:
```
data_YV6Sn6
_cell_length_a 5.5043
_cell_length_b 5.5043
_cell_length_c 9.2626
_cell_angle_alpha 90.00
_cell_angle_beta 90.00
_cell_angle_gamma 120.00
_symmetry_space_group_name_H-M 'P 6/m m m'
_symmetry_Int_Tables_number 191
_symmetry_space_group_name_Hall '-P 6 2'
loop_
_atom_site_label
_atom_site_fract_x
_atom_site_fract_y
_atom_site_fract_z
_atom_site_occupancy
Y1 0.0000 0.0000 0.0000 1
V1 0.0000 0.5000 0.2485 1
Sn1 0.0000 0.0000 0.3294 1
Sn2 0.3333 0.6667 0.0000 1
Sn3 0.3333 0.6667 0.5000 1
```



Entry 7:
Density functional theory data (PBE-GGA) for a relaxed Rb2HfRhCl6 crystal.

Results
E_tot	-4.39	eV/atom
uncorrected formation energy	-1.353	eV/atom
M_tot	0.100	μB per atom

The structure in CIF format:
```
data_Rb2HfRhCl6
_cell_length_a 7.904
_cell_length_b 7.904
_cell_length_c 9.094
_cell_angle_alpha 90.00
_cell_angle_beta 90.00
_cell_angle_gamma 90.00
_symmetry_space_group_name_H-M 'I 4/m m m'
_symmetry_Int_Tables_number 139
_symmetry_space_group_name_Hall '-I 4 2'
loop_
_atom_site_label
_atom_site_fract_x
_atom_site_fract_y
_atom_site_fract_z
_atom_site_occupancy
Rb1 0.000 0.500 0.250 1
Hf1 0.000 0.000 0.000 1
Rh1 0.000 0.000 0.500 1
Cl1 0.000 0.000 0.256 1
Cl2 0.225 0.225 0.000 1
```



Entry 8:
Density functional theory data (PBE-GGA) for a relaxed Ti3AsPt crystal.

Results
E_form	0.211	eV/atom
E_tot	-6.66	eV/atom
M_tot	0.194	μB per atom

The structure in CIF format:
```
data_Ti3AsPt
_cell_length_a 4.787
_cell_length_b 4.787
_cell_length_c 4.787
_cell_angle_alpha 90.00
_cell_angle_beta 90.00
_cell_angle_gamma 90.00
_symmetry_space_group_name_H-M 'P m -3 m'
_symmetry_Int_Tables_number 221
_symmetry_space_group_name_Hall '-P 4 2 3'
loop_
_atom_site_label
_atom_site_fract_x
_atom_site_fract_y
_atom_site_fract_z
_atom_site_occupancy
Ti1 0.000 0.000 0.500 1
As1 0.500 0.500 0.500 1
Pt1 0.000 0.000 0.000 1
```



Number 1: Fermi-level density of states 3.473 states/eV/f.u.. Number 2: Fermi-level density of states 0.000 states/eV/f.u.. Number 3: Fermi-level density of states 7.697 states/eV/f.u.. Number 4: Fermi-level density of states 1.370 states/eV/f.u.. Number 5: Fermi-level density of states 9.327 states/eV/f.u.. Number 6: Fermi-level density of states 5.100 states/eV/f.u.. Number 7: Fermi-level density of states 6.332 states/eV/f.u.. Number 8: Fermi-level density of states 5.269 states/eV/f.u..